First-principles (GGA-PBE) data for an optimized crystal structure of Ca2PmNpP4, as listed in Alexandria via LeMat-Bulk.

Properties
energy of formation from the pure elements = -1.1213 eV/atom
magnetization = 2.00 μB per formula unit
DOS at the Fermi energy = 0.79 states/eV/atom

Cell: 4.1020 7.0733 7.0539 Å, 109.35 90.00 90.00°
Positions (direct):
Np: 0.0000 0.0000 0.0000
Ca: 0.5000 0.0000 0.5000
P: 0.0000 0.7623 0.2324
Ca: 0.0000 0.5000 0.5000
Pm: 0.5000 0.5000 0.0000
P: 0.5000 0.7706 0.7734
P: 0.0000 0.2377 0.7676
P: 0.5000 0.2294 0.2266



First-principles (GGA-PBE) data for an optimized crystal structure of MnAlCuAu, as listed in Alexandria via LeMat-Bulk.

Properties
energy of formation from the pure elements = -0.1760 eV/atom
magnetization = 3.75 μB per formula unit
DOS at the Fermi energy = 0.33 states/eV/atom

Cell: 4.3770 4.3770 4.3770 Å, 60.00 60.00 60.00°
Positions (direct):
Mn: 0.2500 0.2500 0.2500
Au: 0.5000 0.5000 0.5000
Al: 0.7500 0.7500 0.7500
Cu: 0.0000 0.0000 0.0000



First-principles (GGA-PBE) data for an optimized crystal structure of Ac4Ti3TlO12, as listed in Alexandria via LeMat-Bulk.

Properties
formation energy (no corrections) = -2.77 eV per atom
magnetization = 2.84 μB per formula unit
DOS at the Fermi energy = 0.32 states/eV/atom

Cell: 7.1201 7.1201 7.1201 Å, 109.47 109.47 109.47°
Positions (direct):
Ti: 0.0000 0.5000 0.5000
O: 0.2500 0.7500 0.5000
Ac: 0.5000 0.0000 0.0000
Ac: 0.5000 0.5000 0.5000
Ti: 0.5000 0.5000 0.0000
O: 0.7500 0.5000 0.2500
O: 0.5000 0.7500 0.2500
Tl: 0.0000 0.0000 0.0000
Ac: 0.0000 0.0000 0.5000
O: 0.2500 0.5000 0.7500
O: 0.5000 0.2500 0.7500
O: 0.2639 0.2639 0.0000
O: 0.7361 0.0000 0.7361
O: 0.7361 0.7361 0.0000
Ti: 0.5000 0.0000 0.5000
O: 0.7500 0.2500 0.5000
O: 0.0000 0.7361 0.7361
Ac: 0.0000 0.5000 0.0000
O: 0.0000 0.2639 0.2639
O: 0.2639 0.0000 0.2639